PBE Tb6HoTl6, optimized geometry; calculated total energy = -48.896 eV for the cell shown; ρ = 10.20 Mg/m³; energy of formation = -0.1799 eV per atom; total moment = 0.08 μB per atom
1.0
6.450 0.000 0.000
-3.225 5.585 0.000
0.000 0.000 10.593
Tb Ho Tl
6 1 6
Cartesian
0.000 0.000 1.755
0.000 0.000 8.838
0.000 3.724 0.000
0.000 3.724 5.296
3.225 1.862 0.000
3.225 1.862 5.296
0.000 0.000 5.296
-1.612 2.793 2.685
-1.612 2.793 7.908
3.225 0.000 2.685
3.225 0.000 7.908
1.612 2.793 2.685
1.612 2.793 7.908

---

PBE BaV2Hg, optimized geometry; calculated total energy = -34.372 eV for the cell shown; ρ = 6.58 Mg/m³; energy of formation = 0.8189 eV per atom; total moment = 0.50 μB per atom
1.0
-2.315 2.315 10.357
2.315 -2.315 10.357
2.315 2.315 -10.357
Ba V Hg
2 4 2
Cartesian
2.315 1.157 2.589
0.000 1.157 7.768
0.000 0.000 0.000
1.157 1.157 -5.178
1.157 -1.157 5.178
0.000 2.315 0.000
2.315 -1.157 7.768
0.000 3.472 2.589

---

PBE BaZnIr4, optimized geometry; calculated total energy = -37.117 eV for the cell shown; ρ = 14.30 Mg/m³; energy of formation = 0.2540 eV per atom; total moment = 0.00 μB per atom
1.0
0.000 3.835 3.835
3.835 0.000 3.835
3.835 3.835 0.000
Ba Zn Ir
1 1 4
Cartesian
0.000 0.000 0.000
1.918 1.918 1.918
4.789 2.882 2.882
2.882 4.789 2.882
2.882 2.882 4.789
4.789 4.789 4.789

---

PBE Tl2Hg2Te, optimized geometry; calculated total energy = -9.070 eV for the cell shown; ρ = 9.29 Mg/m³; total moment = 0.00 μB per atom
1.0
-2.108 2.108 9.425
2.108 -2.108 9.425
2.108 2.108 -9.425
Tl Hg Te
2 2 1
Cartesian
0.000 0.000 1.711
0.000 0.000 17.139
2.108 0.000 4.713
0.000 2.108 4.713
0.000 0.000 9.425

---

PBE Hf3Bi2C, optimized geometry; calculated total energy = -49.430 eV for the cell shown; ρ = 11.45 Mg/m³; energy of formation = -0.4307 eV per atom; total moment = 0.00 μB per atom
1.0
-1.661 2.212 9.523
1.661 -2.212 9.523
1.661 2.212 -9.523
Hf Bi C
3 2 1
Cartesian
0.000 0.000 0.000
0.000 0.000 7.954
0.000 0.000 11.093
0.000 0.000 3.220
0.000 0.000 15.827
0.000 2.212 0.000

---

PBE Sc2Si2Rh, optimized geometry; calculated total energy = -35.618 eV for the cell shown; ρ = 4.87 Mg/m³; total moment = 0.00 μB per atom
1.0
-1.957 2.621 4.138
1.957 -2.621 4.138
1.957 2.621 -4.138
Sc Si Rh
2 2 1
Cartesian
0.000 0.000 1.700
0.000 0.000 6.577
1.957 1.207 0.000
0.000 1.415 4.138
0.000 2.621 0.000

---

PBE Zr2SiBr, optimized geometry; calculated total energy = -25.428 eV for the cell shown; ρ = 5.98 Mg/m³; total moment = 0.00 μB per atom
1.0
1.625 0.938 8.811
-1.625 0.938 8.811
0.000 -1.876 8.811
Zr Si Br
2 1 1
Cartesian
0.000 0.000 6.529
0.000 0.000 19.903
0.000 0.000 13.216
0.000 0.000 0.000

---

PBE Li2Er2TiS6, optimized geometry; calculated total energy = -63.842 eV for the cell shown; ρ = 4.28 Mg/m³; total moment = 0.00 μB per atom
1.0
3.288 -5.637 0.000
3.288 5.637 0.000
-1.979 0.000 6.160
Li Er Ti S
2 2 1 6
Cartesian
3.288 3.891 0.000
3.288 -3.891 0.000
2.299 1.879 3.080
2.299 -1.879 3.080
-0.990 0.000 3.080
0.026 1.756 4.538
0.996 0.000 1.634
0.026 -1.756 4.538
4.571 1.756 1.621
3.601 0.000 4.525
4.571 -1.756 1.621